Below is a relaxed structure of TaCrGaO6, with properties calculated at the PBE with a Hubbard U level.

Structure (POSCAR):
```
TaCrGaO6
1.0
4.625 0.000 0.000
0.000 4.625 0.000
0.000 0.000 9.090
Ta Cr Ga O
2 2 2 12
direct
0.500 0.500 0.170
0.000 0.000 0.670
0.500 0.500 0.501
0.000 0.000 0.001
0.500 0.500 0.832
0.000 0.000 0.332
0.205 0.795 0.502
0.795 0.205 0.502
0.295 0.295 0.002
0.705 0.705 0.002
0.194 0.806 0.163
0.806 0.194 0.163
0.306 0.306 0.663
0.694 0.694 0.663
0.804 0.196 0.834
0.196 0.804 0.834
0.696 0.696 0.334
0.304 0.304 0.334
```

Properties
Raw total energy (eV per cell): -142.2
Theoretical density (g/cm³): 6.81